Record 1
First-principles (GGA-PBE) data for a relaxed structure of Sr2CdAs4Pd3, as listed in Alexandria via LeMat-Bulk.

## Properties
- VASP energy: -45.6 eV per cell
- Energy of formation from the pure elements: -0.7160 eV/atom
- ρ: 7.05 Mg/m³
- DOS at the Fermi energy: 3.143 states/eV per cell

```
data_Sr2CdAs4Pd3
_cell_length_a 4.4784
_cell_length_b 4.4784
_cell_length_c 10.6458
_cell_angle_alpha 90.00
_cell_angle_beta 90.00
_cell_angle_gamma 90.00
_symmetry_space_group_name_H-M 'P 1'
_symmetry_Int_Tables_number 1
_symmetry_space_group_name_Hall 'P 1'
loop_
_atom_site_label
_atom_site_type_symbol
_atom_site_fract_x
_atom_site_fract_y
_atom_site_fract_z
Sr1 Sr 0.0000 0.5000 0.2388
Sr2 Sr 0.5000 0.0000 0.7612
Cd1 Cd 0.0000 0.0000 0.5000
As1 As 0.0000 0.0000 0.0000
As2 As 0.0000 0.5000 0.6471
As3 As 0.5000 0.0000 0.3529
As4 As 0.5000 0.5000 0.0000
Pd1 Pd 0.0000 0.5000 0.8836
Pd2 Pd 0.5000 0.0000 0.1164
Pd3 Pd 0.5000 0.5000 0.5000
```

Record 2
First-principles (GGA-PBE) data for a relaxed structure of Mg2CoCl, as listed in Alexandria via LeMat-Bulk.

## Properties
- VASP energy: -12.5 eV per cell
- Energy relative to the elements, uncorrected: -39 kJ/mol of formula units
- ρ: 3.43 Mg/m³
- DOS at the Fermi energy: 2.885 states/eV per cell

```
data_Mg2CoCl
_cell_length_a 4.8267
_cell_length_b 4.8267
_cell_length_c 3.0102
_cell_angle_alpha 90.00
_cell_angle_beta 90.00
_cell_angle_gamma 99.07
_symmetry_space_group_name_H-M 'P 1'
_symmetry_Int_Tables_number 1
_symmetry_space_group_name_Hall 'P 1'
loop_
_atom_site_label
_atom_site_type_symbol
_atom_site_fract_x
_atom_site_fract_y
_atom_site_fract_z
Mg1 Mg 0.0000 0.5000 0.0000
Mg2 Mg 0.5000 0.0000 0.0000
Co1 Co 0.0000 0.0000 0.5000
Cl1 Cl 0.5000 0.5000 0.5000
```

Record 3
First-principles (GGA-PBE) data for a relaxed structure of Ti2Re2Ge, as listed in Alexandria via LeMat-Bulk.

## Properties
- VASP energy: -90.2 eV per cell
- Energy of formation from the pure elements: 0.0424 eV/atom
- ρ: 10.64 Mg/m³
- DOS at the Fermi energy: 11.362 states/eV per cell

```
data_Ti2Re2Ge
_cell_length_a 6.3906
_cell_length_b 6.3906
_cell_length_c 4.1313
_cell_angle_alpha 90.00
_cell_angle_beta 90.00
_cell_angle_gamma 90.00
_symmetry_space_group_name_H-M 'P 1'
_symmetry_Int_Tables_number 1
_symmetry_space_group_name_Hall 'P 1'
loop_
_atom_site_label
_atom_site_type_symbol
_atom_site_fract_x
_atom_site_fract_y
_atom_site_fract_z
Ti1 Ti 0.1787 0.3213 0.0000
Ti2 Ti 0.3213 0.8213 0.0000
Ti3 Ti 0.6787 0.1787 0.0000
Ti4 Ti 0.8213 0.6787 0.0000
Re1 Re 0.1377 0.6377 0.5000
Re2 Re 0.3623 0.1377 0.5000
Re3 Re 0.6377 0.8623 0.5000
Re4 Re 0.8623 0.3623 0.5000
Ge1 Ge 0.0000 0.0000 0.5000
Ge2 Ge 0.5000 0.5000 0.5000
```

Record 4
First-principles (GGA-PBE) data for a relaxed structure of Rb4CuAg3Br12, as listed in Alexandria via LeMat-Bulk.

## Properties
- VASP energy: -53.9 eV per cell
- Energy relative to the elements, uncorrected: -1669 kJ/mol of formula units
- ρ: 4.48 Mg/m³
- DOS at the Fermi energy: 7.744 states/eV per cell

```
data_Rb4CuAg3Br12
_cell_length_a 9.3349
_cell_length_b 9.3349
_cell_length_c 9.3349
_cell_angle_alpha 109.47
_cell_angle_beta 109.47
_cell_angle_gamma 109.47
_symmetry_space_group_name_H-M 'P 1'
_symmetry_Int_Tables_number 1
_symmetry_space_group_name_Hall 'P 1'
loop_
_atom_site_label
_atom_site_type_symbol
_atom_site_fract_x
_atom_site_fract_y
_atom_site_fract_z
Rb1 Rb 0.0000 0.0000 0.5000
Rb2 Rb 0.0000 0.5000 0.0000
Rb3 Rb 0.5000 0.0000 0.0000
Rb4 Rb 0.5000 0.5000 0.5000
Cu1 Cu 0.0000 0.0000 0.0000
Ag1 Ag 0.0000 0.5000 0.5000
Ag2 Ag 0.5000 0.0000 0.5000
Ag3 Ag 0.5000 0.5000 0.0000
Br1 Br 0.0000 0.2388 0.2388
Br2 Br 0.0000 0.7612 0.7612
Br3 Br 0.2388 0.0000 0.2388
Br4 Br 0.2388 0.2388 0.0000
Br5 Br 0.2500 0.5000 0.7500
Br6 Br 0.2500 0.7500 0.5000
Br7 Br 0.5000 0.2500 0.7500
Br8 Br 0.5000 0.7500 0.2500
Br9 Br 0.7500 0.2500 0.5000
Br10 Br 0.7500 0.5000 0.2500
Br11 Br 0.7612 0.0000 0.7612
Br12 Br 0.7612 0.7612 0.0000
```

Record 5
First-principles (GGA-PBE) data for a relaxed structure of PmAl2InPd5, as listed in Alexandria via LeMat-Bulk.

## Properties
- VASP energy: -46.3 eV per cell
- Energy of formation from the pure elements: -0.5986 eV/atom
- ρ: 8.50 Mg/m³
- DOS at the Fermi energy: 3.915 states/eV per cell

```
data_PmAl2InPd5
_cell_length_a 4.1974
_cell_length_b 4.1974
_cell_length_c 9.3789
_cell_angle_alpha 90.00
_cell_angle_beta 90.00
_cell_angle_gamma 90.00
_symmetry_space_group_name_H-M 'P 1'
_symmetry_Int_Tables_number 1
_symmetry_space_group_name_Hall 'P 1'
loop_
_atom_site_label
_atom_site_type_symbol
_atom_site_fract_x
_atom_site_fract_y
_atom_site_fract_z
Pm1 Pm 0.0000 0.0000 0.0000
Al1 Al 0.5000 0.5000 0.3637
Al2 Al 0.5000 0.5000 0.6363
In1 In 0.0000 0.0000 0.5000
Pd1 Pd 0.0000 0.5000 0.2275
Pd2 Pd 0.0000 0.5000 0.7725
Pd3 Pd 0.5000 0.0000 0.2275
Pd4 Pd 0.5000 0.0000 0.7725
Pd5 Pd 0.5000 0.5000 0.0000
```

Record 6
First-principles (GGA-PBE) data for a relaxed structure of Ba3Zn4Hg2, as listed in Alexandria via LeMat-Bulk.

## Properties
- VASP energy: -14.2 eV per cell
- Energy of formation from the pure elements: -0.3019 eV/atom
- ρ: 6.49 Mg/m³
- DOS at the Fermi energy: 5.980 states/eV per cell

```
data_Ba3Zn4Hg2
_cell_length_a 6.5967
_cell_length_b 6.5967
_cell_length_c 9.6012
_cell_angle_alpha 103.62
_cell_angle_beta 103.62
_cell_angle_gamma 42.84
_symmetry_space_group_name_H-M 'P 1'
_symmetry_Int_Tables_number 1
_symmetry_space_group_name_Hall 'P 1'
loop_
_atom_site_label
_atom_site_type_symbol
_atom_site_fract_x
_atom_site_fract_y
_atom_site_fract_z
Ba1 Ba 0.0000 0.0000 0.0000
Ba2 Ba 0.3325 0.3325 0.3311
Ba3 Ba 0.6675 0.6675 0.6689
Zn1 Zn 0.0525 0.0525 0.3947
Zn2 Zn 0.2741 0.2741 0.9516
Zn3 Zn 0.7259 0.7259 0.0484
Zn4 Zn 0.9475 0.9475 0.6053
Hg1 Hg 0.3886 0.3886 0.7232
Hg2 Hg 0.6114 0.6114 0.2768
```

Record 7
First-principles (GGA-PBE) data for a relaxed structure of PmReN3, as listed in Alexandria via LeMat-Bulk.

## Properties
- VASP energy: -179.6 eV per cell
- Energy relative to the elements, uncorrected: -263 kJ/mol of formula units
- ρ: 8.67 Mg/m³
- DOS at the Fermi energy: 2.800 states/eV per cell

```
data_PmReN3
_cell_length_a 7.5397
_cell_length_b 7.5397
_cell_length_c 5.0413
_cell_angle_alpha 92.27
_cell_angle_beta 92.27
_cell_angle_gamma 91.46
_symmetry_space_group_name_H-M 'P 1'
_symmetry_Int_Tables_number 1
_symmetry_space_group_name_Hall 'P 1'
loop_
_atom_site_label
_atom_site_type_symbol
_atom_site_fract_x
_atom_site_fract_y
_atom_site_fract_z
Pm1 Pm 0.1157 0.3296 0.3454
Pm2 Pm 0.3296 0.1157 0.8454
Pm3 Pm 0.6704 0.8843 0.1546
Pm4 Pm 0.8843 0.6704 0.6546
Re1 Re 0.2023 0.7977 0.2500
Re2 Re 0.4467 0.5533 0.7500
Re3 Re 0.5533 0.4467 0.2500
Re4 Re 0.7977 0.2023 0.7500
N1 N 0.0237 0.2273 0.8830
N2 N 0.2003 0.6344 0.5260
N3 N 0.2273 0.0237 0.3830
N4 N 0.3227 0.4344 0.0615
N5 N 0.3656 0.7997 0.9740
N6 N 0.4344 0.3227 0.5615
N7 N 0.5656 0.6773 0.4385
N8 N 0.6344 0.2003 0.0260
N9 N 0.6773 0.5656 0.9385
N10 N 0.7727 0.9763 0.6170
N11 N 0.7997 0.3656 0.4740
N12 N 0.9763 0.7727 0.1170
```

Record 8
First-principles (GGA-PBE) data for a relaxed structure of Zn2TcNi, as listed in Alexandria via LeMat-Bulk.

## Properties
- VASP energy: -18.8 eV per cell
- Energy of formation from the pure elements: -0.0351 eV/atom
- ρ: 8.85 Mg/m³
- DOS at the Fermi energy: 2.102 states/eV per cell

```
data_Zn2TcNi
_cell_length_a 2.6348
_cell_length_b 2.6348
_cell_length_c 7.7676
_cell_angle_alpha 90.00
_cell_angle_beta 90.00
_cell_angle_gamma 90.00
_symmetry_space_group_name_H-M 'P 1'
_symmetry_Int_Tables_number 1
_symmetry_space_group_name_Hall 'P 1'
loop_
_atom_site_label
_atom_site_type_symbol
_atom_site_fract_x
_atom_site_fract_y
_atom_site_fract_z
Zn1 Zn 0.0000 0.0000 0.0000
Zn2 Zn 0.5000 0.5000 0.2735
Tc1 Tc 0.5000 0.5000 0.7342
Ni1 Ni 0.0000 0.0000 0.5055
```

Record 9
First-principles (GGA-PBE) data for a relaxed structure of CaCrMo2Pt, as listed in Alexandria via LeMat-Bulk.

## Properties
- VASP energy: -33.8 eV per cell
- Energy of formation from the pure elements: 1.1101 eV/atom
- ρ: 8.00 Mg/m³
- DOS at the Fermi energy: 7.502 states/eV per cell

```
data_CaCrMo2Pt
_cell_length_a 4.4133
_cell_length_b 4.4133
_cell_length_c 5.1030
_cell_angle_alpha 90.00
_cell_angle_beta 90.00
_cell_angle_gamma 90.00
_symmetry_space_group_name_H-M 'P 1'
_symmetry_Int_Tables_number 1
_symmetry_space_group_name_Hall 'P 1'
loop_
_atom_site_label
_atom_site_type_symbol
_atom_site_fract_x
_atom_site_fract_y
_atom_site_fract_z
Ca1 Ca 0.0000 0.0000 0.0000
Cr1 Cr 0.0000 0.0000 0.5000
Mo1 Mo 0.0000 0.5000 0.5000
Mo2 Mo 0.5000 0.0000 0.5000
Pt1 Pt 0.5000 0.5000 0.0000
```

Record 10
First-principles (GGA-PBE) data for a relaxed structure of RbNaPmCl6, as listed in Alexandria via LeMat-Bulk.

## Properties
- VASP energy: -34.0 eV per cell
- Energy relative to the elements, uncorrected: -1528 kJ/mol of formula units
- ρ: 2.53 Mg/m³
- DOS at the Fermi energy: 1.401 states/eV per cell

```
data_RbNaPmCl6
_cell_length_a 5.5440
_cell_length_b 7.6793
_cell_length_c 8.1361
_cell_angle_alpha 61.95
_cell_angle_beta 88.99
_cell_angle_gamma 87.41
_symmetry_space_group_name_H-M 'P 1'
_symmetry_Int_Tables_number 1
_symmetry_space_group_name_Hall 'P 1'
loop_
_atom_site_label
_atom_site_type_symbol
_atom_site_fract_x
_atom_site_fract_y
_atom_site_fract_z
Rb1 Rb 0.0000 0.0000 0.0000
Na1 Na 0.4987 0.6915 0.6161
Pm1 Pm 0.4979 0.3106 0.3778
Cl1 Cl 0.2467 0.4688 0.0202
Cl2 Cl 0.2535 0.0157 0.6309
Cl3 Cl 0.2616 0.6390 0.3499
Cl4 Cl 0.7303 0.0100 0.3473
Cl5 Cl 0.7451 0.3530 0.6307
Cl6 Cl 0.7472 0.5101 0.0207
```

Record 11
First-principles (GGA-PBE) data for a relaxed structure of Cs3Na4Sn, as listed in Alexandria via LeMat-Bulk.

## Properties
- VASP energy: -12.0 eV per cell
- Energy of formation from the pure elements: -0.0245 eV/atom
- ρ: 2.28 Mg/m³
- DOS at the Fermi energy: 4.849 states/eV per cell

```
data_Cs3Na4Sn
_cell_length_a 9.0936
_cell_length_b 9.0936
_cell_length_c 9.0936
_cell_angle_alpha 132.91
_cell_angle_beta 124.24
_cell_angle_gamma 75.91
_symmetry_space_group_name_H-M 'P 1'
_symmetry_Int_Tables_number 1
_symmetry_space_group_name_Hall 'P 1'
loop_
_atom_site_label
_atom_site_type_symbol
_atom_site_fract_x
_atom_site_fract_y
_atom_site_fract_z
Cs1 Cs 0.0000 0.0000 0.0000
Cs2 Cs 0.1019 0.3428 0.7591
Cs3 Cs 0.5837 0.3428 0.2409
Na1 Na 0.4158 0.7030 0.7128
Na2 Na 0.5683 0.3073 0.7390
Na3 Na 0.5683 0.8293 0.2610
Na4 Na 0.9902 0.7030 0.2872
Sn1 Sn 0.3838 0.8838 0.5000
```

Record 12
First-principles (GGA-PBE) data for a relaxed structure of Tb4HoAg, as listed in Alexandria via LeMat-Bulk.

## Properties
- VASP energy: -26.4 eV per cell
- Energy of formation from the pure elements: -0.0797 eV/atom
- ρ: 8.55 Mg/m³
- DOS at the Fermi energy: 7.250 states/eV per cell

```
data_Tb4HoAg
_cell_length_a 3.5567
_cell_length_b 3.5567
_cell_length_c 13.9451
_cell_angle_alpha 90.00
_cell_angle_beta 90.00
_cell_angle_gamma 90.00
_symmetry_space_group_name_H-M 'P 1'
_symmetry_Int_Tables_number 1
_symmetry_space_group_name_Hall 'P 1'
loop_
_atom_site_label
_atom_site_type_symbol
_atom_site_fract_x
_atom_site_fract_y
_atom_site_fract_z
Tb1 Tb 0.0000 0.0000 0.1384
Tb2 Tb 0.0000 0.0000 0.8616
Tb3 Tb 0.5000 0.5000 0.3215
Tb4 Tb 0.5000 0.5000 0.6785
Ho1 Ho 0.0000 0.0000 0.5000
Ag1 Ag 0.5000 0.5000 0.0000
```

The lowest VASP energy belongs to which entry?
PmReN3

Among the records above, which one has the highest DOS at the Fermi energy?
Ti2Re2Ge